No. 1
Below is CeSmTlIn after structural relaxation, with properties calculated at the GGA-PBE level.

As for the magnetic moment: 4.049 μB/cell. Its total energy is -4.2829 eV per atom. The crystal system is cubic. Its formation energy is -0.3434 eV per atom. The density is 8.74 g cm⁻³.

Cell and atoms, written as CIF:
```
data_CeSmTlIn
_cell_length_a 7.7366
_cell_length_b 7.7366
_cell_length_c 7.7366
_cell_angle_alpha 90.00
_cell_angle_beta 90.00
_cell_angle_gamma 90.00
_space_group_name_H-M_alt 'F -4 3 m'
_space_group_IT_number 216
_space_group_name_Hall 'F -4 2 3'
loop_
_atom_site_label
_atom_site_fract_x
_atom_site_fract_y
_atom_site_fract_z
Ce1 0.0000 0.0000 0.0000
Sm1 0.0000 0.0000 0.5000
Tl1 0.2500 0.2500 0.7500
In1 0.2500 0.2500 0.2500
```

No. 2
Below is CeSmTmIn after structural relaxation, with properties calculated at the GGA-PBE level.

As for the magnetic moment: 0.003 μB/cell. Its total energy is -4.5358 eV per atom. The crystal system is cubic. Its formation energy is -0.0701 eV per atom. The density is 8.52 g cm⁻³.

Cell and atoms, written as CIF:
```
data_CeSmTmIn
_cell_length_a 7.6487
_cell_length_b 7.6487
_cell_length_c 7.6487
_cell_angle_alpha 90.00
_cell_angle_beta 90.00
_cell_angle_gamma 90.00
_space_group_name_H-M_alt 'F -4 3 m'
_space_group_IT_number 216
_space_group_name_Hall 'F -4 2 3'
loop_
_atom_site_label
_atom_site_fract_x
_atom_site_fract_y
_atom_site_fract_z
Ce1 0.0000 0.0000 0.0000
Sm1 0.2500 0.2500 0.2500
Tm1 0.2500 0.2500 0.7500
In1 0.0000 0.0000 0.5000
```

No. 3
Below is Ce2SmTmIn4 after structural relaxation, with properties calculated at the GGA-PBE level.

As for the magnetic moment: 5.808 μB/cell. Its total energy is -4.3947 eV per atom. The crystal system is trigonal. Its formation energy is -0.3932 eV per atom. The density is 7.88 g cm⁻³.

Cell and atoms, written as CIF:
```
data_Ce2SmTmIn4
_cell_length_a 5.3984
_cell_length_b 5.3984
_cell_length_c 26.5304
_cell_angle_alpha 90.00
_cell_angle_beta 90.00
_cell_angle_gamma 120.00
_space_group_name_H-M_alt 'R -3 m'
_space_group_IT_number 166
_space_group_name_Hall '-R 3 2"'
loop_
_atom_site_label
_atom_site_fract_x
_atom_site_fract_y
_atom_site_fract_z
Ce1 0.0000 0.0000 0.2490
Sm1 0.0000 0.0000 0.0000
Tm1 0.0000 0.0000 0.5000
In1 0.0000 0.0000 0.1259
In2 0.0000 0.0000 0.3761
```

Repeat the second record exactly.
Below is CeSmTmIn after structural relaxation, with properties calculated at the GGA-PBE level.

As for the magnetic moment: 0.003 μB/cell. Its total energy is -4.5358 eV per atom. The crystal system is cubic. Its formation energy is -0.0701 eV per atom. The density is 8.52 g cm⁻³.

Cell and atoms, written as CIF:
```
data_CeSmTmIn
_cell_length_a 7.6487
_cell_length_b 7.6487
_cell_length_c 7.6487
_cell_angle_alpha 90.00
_cell_angle_beta 90.00
_cell_angle_gamma 90.00
_space_group_name_H-M_alt 'F -4 3 m'
_space_group_IT_number 216
_space_group_name_Hall 'F -4 2 3'
loop_
_atom_site_label
_atom_site_fract_x
_atom_site_fract_y
_atom_site_fract_z
Ce1 0.0000 0.0000 0.0000
Sm1 0.2500 0.2500 0.2500
Tm1 0.2500 0.2500 0.7500
In1 0.0000 0.0000 0.5000
```

Question: What is the density in the third record?
Answer: 7.88 g cm⁻³

Question: Among the records above, which one has the highest density?
Answer: CeSmTlIn